Computed, not measured: a geometry-optimized YScCl2 structure at the GGA-PBEsol level of DFT.

Properties
* symmetry: Fm-3m (225)
* ΔE_f (raw): -0.983 eV/atom
* distance to the lowest polymorph of the same formula: 0.469 eV per atom

Lattice parameters (Å, degrees): 4.675 4.675 4.675 60.00 60.00 60.00
Fractional coordinates of all 4 atoms:
Y: 0.000 0.000 0.000
Sc: 0.500 0.500 0.500
Cl: 0.250 0.250 0.250
Cl: 0.750 0.750 0.750